The following is a PBE calculation of a geometry-optimized Ac4Tb5Sm2 structure, from Alexandria via LeMat-Bulk.

## Properties
Crystal system: monoclinic
DOS at the Fermi energy (states/eV/f.u.): 16.69
E_form (kJ per mole of atoms): 5.1

Lattice parameters (Å, degrees): 5.320 8.251 11.288 122.05 103.63 90.00
Element x y z (fractional)
Ac: 0.318 0.547 0.636
Ac: 0.044 0.357 0.087
Ac: 0.682 0.453 0.364
Ac: 0.956 0.643 0.913
Tb: 0.774 0.173 0.548
Tb: 0.226 0.827 0.452
Tb: 0.860 0.914 0.721
Tb: 0.500 0.000 0.000
Tb: 0.140 0.086 0.279
Sm: 0.407 0.263 0.814
Sm: 0.593 0.737 0.186



The following is a PBE calculation of a geometry-optimized ScFeBr4 structure, from Alexandria via LeMat-Bulk.

## Properties
Crystal system: cubic
DOS at the Fermi energy (states/eV/f.u.): 15.41
VASP energy (eV for the cell shown): -17.00

Lattice parameters (Å, degrees): 6.178 6.178 6.178 60.00 60.00 60.00
Site moments in Bohr magnetons follow the coordinates.
Element x y z (fractional)
Sc: 0.000 0.000 0.000  -0.50
Fe: 0.750 0.750 0.750  3.45
Br: 0.875 0.375 0.375  0.26
Br: 0.375 0.375 0.875  0.26
Br: 0.375 0.875 0.375  0.26
Br: 0.375 0.375 0.375  0.26



The following is a PBE calculation of a geometry-optimized Na3Li2Pb3 structure, from Alexandria via LeMat-Bulk.

## Properties
Crystal system: monoclinic
DOS at the Fermi energy (states/eV/f.u.): 2.44
E_form (kJ per mole of atoms): -16.7

Lattice parameters (Å, degrees): 4.862 4.956 9.078 105.84 105.03 90.00
Element x y z (fractional)
Na: 0.863 0.365 0.729
Na: 0.500 0.500 0.000
Na: 0.137 0.635 0.271
Li: 0.750 0.748 0.497
Li: 0.250 0.252 0.503
Pb: 0.354 0.854 0.708
Pb: 0.646 0.146 0.292
Pb: 0.000 0.000 0.000



Which volume belongs to each record? In order, 403 167 203 Å³/cell.